{
  "formula": "KZn3I",
  "functional": "PBE",
  "state": "optimized geometry",
  "raw_formation_energy_ev_per_atom": 0.38,
  "e_above_lowest_polymorph_mev_per_atom": 0,
  "final_energy_ha_per_atom": -0.0337,
  "spacegroup": "No. 221",
  "cell": [[6.373, 0.000, 0.000], [0.000, 6.373, 0.000], [0.000, 0.000, 6.373]],
  "species": ["K", "Zn", "Zn", "Zn", "I"],
  "fractional_positions": [[0.000, 0.000, 0.000], [0.000, 0.000, 0.500], [0.000, 0.500, 0.000], [0.500, 0.000, 0.000], [0.500, 0.500, 0.500]]
}

=====

{
  "formula": "K2ZnI",
  "functional": "PBE",
  "state": "optimized geometry",
  "raw_formation_energy_ev_per_atom": -0.44,
  "e_above_lowest_polymorph_mev_per_atom": 18,
  "final_energy_ha_per_atom": -0.0624,
  "spacegroup": "No. 122",
  "cell": [[9.358, 0.000, 0.000], [0.000, 9.358, 0.000], [0.000, 0.000, 8.851]],
  "species": ["K", "K", "K", "K", "K", "K", "K", "K", "Zn", "Zn", "Zn", "Zn", "I", "I", "I", "I"],
  "fractional_positions": [[0.243, 0.250, 0.125], [0.250, 0.743, 0.375], [0.250, 0.757, 0.875], [0.257, 0.250, 0.625], [0.743, 0.750, 0.625], [0.750, 0.243, 0.875], [0.750, 0.257, 0.375], [0.757, 0.750, 0.125], [0.000, 0.000, 0.500], [0.000, 0.500, 0.750], [0.500, 0.000, 0.250], [0.500, 0.500, 0.000], [0.000, 0.000, 0.000], [0.000, 0.500, 0.250], [0.500, 0.000, 0.750], [0.500, 0.500, 0.500]]
}

=====

{
  "formula": "K2ZrI",
  "functional": "PBE",
  "state": "optimized geometry",
  "raw_formation_energy_ev_per_atom": 0.40,
  "e_above_lowest_polymorph_mev_per_atom": 0,
  "final_energy_ha_per_atom": -0.0983,
  "spacegroup": "No. 122",
  "cell": [[11.897, 0.000, 0.000], [0.000, 11.897, 0.000], [0.000, 0.000, 5.736]],
  "species": ["K", "K", "K", "K", "K", "K", "K", "K", "Zr", "Zr", "Zr", "Zr", "I", "I", "I", "I"],
  "fractional_positions": [[0.137, 0.250, 0.125], [0.250, 0.637, 0.375], [0.250, 0.863, 0.875], [0.363, 0.250, 0.625], [0.637, 0.750, 0.625], [0.750, 0.137, 0.875], [0.750, 0.363, 0.375], [0.863, 0.750, 0.125], [0.000, 0.000, 0.500], [0.000, 0.500, 0.750], [0.500, 0.000, 0.250], [0.500, 0.500, 0.000], [0.000, 0.000, 0.000], [0.000, 0.500, 0.250], [0.500, 0.000, 0.750], [0.500, 0.500, 0.500]]
}

=====

{
  "formula": "K2Zr3I9",
  "functional": "PBE",
  "state": "optimized geometry",
  "raw_formation_energy_ev_per_atom": -1.00,
  "final_energy_ha_per_atom": -0.1464,
  "spacegroup": "No. 12",
  "cell": [[5.808, -9.791, 0.000], [5.808, 9.791, 0.000], [-4.573, 0.000, 10.267]],
  "species": ["K", "K", "K", "K", "Zr", "Zr", "Zr", "Zr", "Zr", "Zr", "I", "I", "I", "I", "I", "I", "I", "I", "I", "I", "I", "I", "I", "I", "I", "I", "I", "I"],
  "fractional_positions": [[0.052, 0.728, 0.663], [0.272, 0.948, 0.337], [0.728, 0.052, 0.663], [0.948, 0.272, 0.337], [0.277, 0.455, 0.860], [0.371, 0.371, 0.127], [0.455, 0.277, 0.860], [0.545, 0.723, 0.140], [0.629, 0.629, 0.873], [0.723, 0.545, 0.140], [0.009, 0.606, 0.326], [0.085, 0.295, 0.982], [0.182, 0.182, 0.669], [0.210, 0.210, 0.288], [0.291, 0.709, 0.000], [0.295, 0.085, 0.982], [0.387, 0.594, 0.685], [0.394, 0.991, 0.674], [0.406, 0.613, 0.315], [0.594, 0.387, 0.685], [0.606, 0.009, 0.326], [0.613, 0.406, 0.315], [0.705, 0.915, 0.018], [0.709, 0.291, 0.000], [0.790, 0.790, 0.712], [0.818, 0.818, 0.331], [0.915, 0.705, 0.018], [0.991, 0.394, 0.674]]
}

=====

{
  "formula": "K2ZrI",
  "functional": "PBE",
  "state": "optimized geometry",
  "raw_formation_energy_ev_per_atom": 0.50,
  "e_above_lowest_polymorph_mev_per_atom": 107,
  "final_energy_ha_per_atom": -0.0944,
  "spacegroup": "No. 225",
  "cell": [[8.983, 0.000, 0.000], [0.000, 8.983, 0.000], [0.000, 0.000, 8.983]],
  "species": ["K", "K", "K", "K", "K", "K", "K", "K", "Zr", "Zr", "Zr", "Zr", "I", "I", "I", "I"],
  "fractional_positions": [[0.250, 0.250, 0.250], [0.250, 0.250, 0.750], [0.250, 0.750, 0.250], [0.250, 0.750, 0.750], [0.750, 0.250, 0.250], [0.750, 0.250, 0.750], [0.750, 0.750, 0.250], [0.750, 0.750, 0.750], [0.000, 0.000, 0.000], [0.000, 0.500, 0.500], [0.500, 0.000, 0.500], [0.500, 0.500, 0.000], [0.000, 0.000, 0.500], [0.000, 0.500, 0.000], [0.500, 0.000, 0.000], [0.500, 0.500, 0.500]]
}

=====

{
  "formula": "KZr4I7",
  "functional": "PBE",
  "state": "optimized geometry",
  "raw_formation_energy_ev_per_atom": -0.63,
  "final_energy_ha_per_atom": -0.1643,
  "spacegroup": "No. 1",
  "cell": [[5.633, 0.000, 0.000], [0.003, 6.104, 0.000], [0.012, 1.366, 22.363]],
  "species": ["K", "K", "Zr", "Zr", "Zr", "Zr", "Zr", "Zr", "Zr", "Zr", "I", "I", "I", "I", "I", "I", "I", "I", "I", "I", "I", "I", "I", "I"],
  "fractional_positions": [[0.000, 0.000, 0.000], [0.497, 0.505, 0.500], [0.002, 0.593, 0.753], [0.002, 0.948, 0.650], [0.004, 0.062, 0.349], [0.004, 0.416, 0.246], [0.503, 0.093, 0.253], [0.504, 0.448, 0.150], [0.504, 0.917, 0.746], [0.505, 0.562, 0.849], [0.002, 0.478, 0.619], [0.003, 0.004, 0.500], [0.003, 0.532, 0.381], [0.003, 0.929, 0.228], [0.004, 0.080, 0.772], [0.004, 0.463, 0.113], [0.005, 0.546, 0.886], [0.502, 0.963, 0.613], [0.503, 0.046, 0.386], [0.503, 0.429, 0.728], [0.503, 0.580, 0.272], [0.503, 0.978, 0.119], [0.504, 0.032, 0.881], [0.505, 0.506, 0.000]]
}

=====

{
  "formula": "K3ZrI",
  "functional": "PBE",
  "state": "optimized geometry",
  "raw_formation_energy_ev_per_atom": 0.40,
  "e_above_lowest_polymorph_mev_per_atom": 0,
  "final_energy_ha_per_atom": -0.0839,
  "spacegroup": "No. 221",
  "cell": [[6.611, 0.000, 0.000], [0.000, 6.611, 0.000], [0.000, 0.000, 6.611]],
  "species": ["K", "K", "K", "Zr", "I"],
  "fractional_positions": [[0.000, 0.000, 0.500], [0.000, 0.500, 0.000], [0.500, 0.000, 0.000], [0.500, 0.500, 0.500], [0.000, 0.000, 0.000]]
}

=====

{
  "formula": "KZr2I8",
  "functional": "PBE",
  "state": "optimized geometry",
  "raw_formation_energy_ev_per_atom": -0.86,
  "final_energy_ha_per_atom": -0.1338,
  "spacegroup": "No. 147",
  "cell": [[10.531, 0.000, 0.000], [-5.265, 9.120, 0.000], [0.000, 0.000, 5.840]],
  "species": ["K", "Zr", "Zr", "I", "I", "I", "I", "I", "I", "I", "I"],
  "fractional_positions": [[0.000, 0.000, 0.000], [0.333, 0.667, 0.248], [0.667, 0.333, 0.752], [0.180, 0.363, 0.260], [0.182, 0.820, 0.260], [0.333, 0.667, 0.754], [0.363, 0.182, 0.740], [0.637, 0.818, 0.260], [0.667, 0.333, 0.246], [0.818, 0.180, 0.740], [0.820, 0.637, 0.740]]
}

=====

{
  "formula": "K3ZrI",
  "functional": "PBE",
  "state": "optimized geometry",
  "raw_formation_energy_ev_per_atom": 0.62,
  "e_above_lowest_polymorph_mev_per_atom": 224,
  "final_energy_ha_per_atom": -0.0756,
  "spacegroup": "No. 221",
  "cell": [[6.772, 0.000, 0.000], [0.000, 6.772, 0.000], [0.000, 0.000, 6.772]],
  "species": ["K", "K", "K", "Zr", "I"],
  "fractional_positions": [[0.000, 0.000, 0.500], [0.000, 0.500, 0.000], [0.500, 0.000, 0.000], [0.000, 0.000, 0.000], [0.500, 0.500, 0.500]]
}

=====

{
  "formula": "K2ZrI8",
  "functional": "PBE",
  "state": "optimized geometry",
  "raw_formation_energy_ev_per_atom": -0.87,
  "final_energy_ha_per_atom": -0.1092,
  "spacegroup": "No. 12",
  "cell": [[7.411, -6.473, 0.000], [7.411, 6.473, 0.000], [-1.584, 0.000, 6.243]],
  "species": ["K", "K", "Zr", "I", "I", "I", "I", "I", "I", "I", "I"],
  "fractional_positions": [[0.222, 0.222, 0.111], [0.778, 0.778, 0.889], [0.500, 0.500, 0.000], [0.003, 0.003, 0.255], [0.264, 0.584, 0.214], [0.326, 0.326, 0.673], [0.416, 0.736, 0.786], [0.584, 0.264, 0.214], [0.674, 0.674, 0.327], [0.736, 0.416, 0.786], [0.997, 0.997, 0.745]]
}

=====

{
  "formula": "KZrI5",
  "functional": "PBE",
  "state": "optimized geometry",
  "raw_formation_energy_ev_per_atom": -1.03,
  "final_energy_ha_per_atom": -0.1290,
  "spacegroup": "No. 15",
  "cell": [[8.457, -4.160, 0.000], [8.457, 4.160, 0.000], [-4.107, 0.000, 10.528]],
  "species": ["K", "K", "Zr", "Zr", "I", "I", "I", "I", "I", "I", "I", "I", "I", "I"],
  "fractional_positions": [[0.047, 0.953, 0.750], [0.953, 0.047, 0.250], [0.500, 0.500, 0.000], [0.500, 0.500, 0.500], [0.140, 0.606, 0.481], [0.143, 0.597, 0.878], [0.382, 0.618, 0.250], [0.394, 0.860, 0.019], [0.403, 0.857, 0.622], [0.597, 0.143, 0.378], [0.606, 0.140, 0.981], [0.618, 0.382, 0.750], [0.857, 0.403, 0.122], [0.860, 0.394, 0.519]]
}

=====

{
  "formula": "KZr2I",
  "functional": "PBE",
  "state": "optimized geometry",
  "raw_formation_energy_ev_per_atom": 0.97,
  "e_above_lowest_polymorph_mev_per_atom": 407,
  "final_energy_ha_per_atom": -0.1457,
  "spacegroup": "No. 225",
  "cell": [[7.491, 0.000, 0.000], [0.000, 7.491, 0.000], [0.000, 0.000, 7.491]],
  "species": ["K", "K", "K", "K", "Zr", "Zr", "Zr", "Zr", "Zr", "Zr", "Zr", "Zr", "I", "I", "I", "I"],
  "fractional_positions": [[0.000, 0.000, 0.000], [0.000, 0.500, 0.500], [0.500, 0.000, 0.500], [0.500, 0.500, 0.000], [0.250, 0.250, 0.250], [0.250, 0.250, 0.750], [0.250, 0.750, 0.250], [0.250, 0.750, 0.750], [0.750, 0.250, 0.250], [0.750, 0.250, 0.750], [0.750, 0.750, 0.250], [0.750, 0.750, 0.750], [0.000, 0.000, 0.500], [0.000, 0.500, 0.000], [0.500, 0.000, 0.000], [0.500, 0.500, 0.500]]
}

=====

{
  "formula": "K6ZrI12",
  "functional": "PBE",
  "state": "optimized geometry",
  "raw_formation_energy_ev_per_atom": -1.09,
  "final_energy_ha_per_atom": -0.1054,
  "spacegroup": "No. 148",
  "cell": [[7.402, 4.273, 4.965], [-7.402, 4.273, 4.965], [0.000, -8.547, 4.965]],
  "species": ["K", "K", "K", "K", "K", "K", "Zr", "I", "I", "I", "I", "I", "I", "I", "I", "I", "I", "I", "I"],
  "fractional_positions": [[0.151, 0.288, 0.635], [0.288, 0.635, 0.151], [0.365, 0.849, 0.712], [0.635, 0.151, 0.288], [0.712, 0.365, 0.849], [0.849, 0.712, 0.365], [0.000, 0.000, 0.000], [0.009, 0.947, 0.707], [0.053, 0.293, 0.991], [0.164, 0.583, 0.464], [0.293, 0.991, 0.053], [0.417, 0.536, 0.836], [0.464, 0.164, 0.583], [0.536, 0.836, 0.417], [0.583, 0.464, 0.164], [0.707, 0.009, 0.947], [0.836, 0.417, 0.536], [0.947, 0.707, 0.009], [0.991, 0.053, 0.293]]
}

=====

{
  "formula": "KZr2I",
  "functional": "PBE",
  "state": "optimized geometry",
  "raw_formation_energy_ev_per_atom": 0.57,
  "e_above_lowest_polymorph_mev_per_atom": 0,
  "final_energy_ha_per_atom": -0.1606,
  "spacegroup": "No. 122",
  "cell": [[4.679, 0.000, 0.000], [0.000, 4.679, 0.000], [0.000, 0.000, 23.378]],
  "species": ["K", "K", "K", "K", "Zr", "Zr", "Zr", "Zr", "Zr", "Zr", "Zr", "Zr", "I", "I", "I", "I"],
  "fractional_positions": [[0.000, 0.000, 0.000], [0.000, 0.500, 0.250], [0.500, 0.000, 0.750], [0.500, 0.500, 0.500], [0.129, 0.250, 0.625], [0.250, 0.629, 0.875], [0.250, 0.871, 0.375], [0.371, 0.250, 0.125], [0.629, 0.750, 0.125], [0.750, 0.129, 0.375], [0.750, 0.371, 0.875], [0.871, 0.750, 0.625], [0.000, 0.000, 0.500], [0.000, 0.500, 0.750], [0.500, 0.000, 0.250], [0.500, 0.500, 0.000]]
}

=====

{
  "formula": "K2ZrI7",
  "functional": "PBE",
  "state": "optimized geometry",
  "raw_formation_energy_ev_per_atom": -0.95,
  "final_energy_ha_per_atom": -0.1144,
  "spacegroup": "No. 15",
  "cell": [[9.202, -4.327, 0.000], [9.202, 4.327, 0.000], [-8.645, 0.000, 11.396]],
  "species": ["K", "K", "K", "K", "Zr", "Zr", "I", "I", "I", "I", "I", "I", "I", "I", "I", "I", "I", "I", "I", "I"],
  "fractional_positions": [[0.109, 0.626, 0.938], [0.374, 0.891, 0.562], [0.626, 0.109, 0.438], [0.891, 0.374, 0.062], [0.316, 0.684, 0.750], [0.684, 0.316, 0.250], [0.066, 0.155, 0.275], [0.155, 0.066, 0.775], [0.243, 0.596, 0.505], [0.260, 0.381, 0.685], [0.337, 0.663, 0.250], [0.381, 0.260, 0.185], [0.404, 0.757, 0.995], [0.596, 0.243, 0.005], [0.619, 0.740, 0.815], [0.663, 0.337, 0.750], [0.740, 0.619, 0.315], [0.757, 0.404, 0.495], [0.845, 0.934, 0.225], [0.934, 0.845, 0.725]]
}

=====

{
  "formula": "KZrI6",
  "functional": "PBE",
  "state": "optimized geometry",
  "raw_formation_energy_ev_per_atom": -0.86,
  "final_energy_ha_per_atom": -0.1187,
  "spacegroup": "No. 2",
  "cell": [[6.840, 0.000, 0.000], [-0.875, 7.251, 0.000], [-2.903, -2.002, 7.185]],
  "species": ["K", "Zr", "I", "I", "I", "I", "I", "I"],
  "fractional_positions": [[0.000, 0.000, 0.000], [0.000, 0.500, 0.500], [0.208, 0.599, 0.268], [0.213, 0.179, 0.535], [0.349, 0.737, 0.826], [0.651, 0.263, 0.174], [0.787, 0.821, 0.465], [0.792, 0.401, 0.732]]
}

=====

{
  "formula": "La2I5",
  "functional": "PBE",
  "state": "optimized geometry",
  "raw_formation_energy_ev_per_atom": -1.49,
  "final_energy_ha_per_atom": -0.1473,
  "spacegroup": "No. 11",
  "cell": [[9.328, 0.000, 0.000], [0.000, 4.391, 0.000], [-0.950, 0.000, 15.007]],
  "species": ["La", "La", "La", "La", "I", "I", "I", "I", "I", "I", "I", "I", "I", "I"],
  "fractional_positions": [[0.083, 0.250, 0.157], [0.402, 0.750, 0.349], [0.598, 0.250, 0.651], [0.917, 0.750, 0.843], [0.140, 0.250, 0.782], [0.151, 0.250, 0.375], [0.185, 0.750, 0.013], [0.361, 0.750, 0.571], [0.437, 0.250, 0.190], [0.563, 0.750, 0.810], [0.639, 0.250, 0.429], [0.815, 0.250, 0.987], [0.849, 0.750, 0.625], [0.860, 0.750, 0.218]]
}

=====

{
  "formula": "La5I",
  "functional": "PBE",
  "state": "optimized geometry",
  "raw_formation_energy_ev_per_atom": -0.17,
  "final_energy_ha_per_atom": -0.1665,
  "spacegroup": "No. 65",
  "cell": [[5.117, 0.000, 0.000], [0.000, 15.920, 0.000], [0.000, 0.000, 4.995]],
  "species": ["La", "La", "La", "La", "La", "La", "La", "La", "La", "La", "I", "I"],
  "fractional_positions": [[0.000, 0.000, 0.000], [0.000, 0.157, 0.500], [0.000, 0.335, 0.000], [0.000, 0.665, 0.000], [0.000, 0.843, 0.500], [0.500, 0.165, 0.000], [0.500, 0.343, 0.500], [0.500, 0.500, 0.000], [0.500, 0.657, 0.500], [0.500, 0.835, 0.000], [0.000, 0.500, 0.500], [0.500, 0.000, 0.500]]
}

=====

{
  "formula": "LaI2",
  "functional": "PBE",
  "state": "optimized geometry",
  "raw_formation_energy_ev_per_atom": -1.38,
  "final_energy_ha_per_atom": -0.1491,
  "spacegroup": "No. 2",
  "cell": [[4.062, 0.000, 0.000], [2.028, 8.031, 0.000], [1.986, 2.009, 7.942]],
  "species": ["La", "La", "I", "I", "I", "I"],
  "fractional_positions": [[0.130, 0.279, 0.460], [0.870, 0.721, 0.540], [0.170, 0.916, 0.749], [0.435, 0.399, 0.736], [0.565, 0.601, 0.264], [0.830, 0.084, 0.251]]
}

=====

{
  "formula": "LaI4",
  "functional": "PBE",
  "state": "optimized geometry",
  "raw_formation_energy_ev_per_atom": -0.92,
  "final_energy_ha_per_atom": -0.1155,
  "spacegroup": "No. 221",
  "cell": [[6.308, 0.000, 0.000], [0.000, 6.308, 0.000], [0.000, 0.000, 6.308]],
  "species": ["La", "I", "I", "I", "I"],
  "fractional_positions": [[0.000, 0.000, 0.000], [0.000, 0.000, 0.500], [0.000, 0.500, 0.000], [0.500, 0.000, 0.000], [0.500, 0.500, 0.500]]
}

=====

{
  "formula": "Li2LaI6",
  "functional": "PBE",
  "state": "optimized geometry",
  "raw_formation_energy_ev_per_atom": -1.08,
  "e_above_lowest_polymorph_mev_per_atom": 38,
  "final_energy_ha_per_atom": -0.1133,
  "spacegroup": "No. 12",
  "cell": [[7.499, -2.423, 0.000], [7.499, 2.423, 0.000], [-2.986, 0.000, 10.598]],
  "species": ["Li", "Li", "La", "I", "I", "I", "I", "I", "I"],
  "fractional_positions": [[0.211, 0.211, 0.163], [0.789, 0.789, 0.837], [0.000, 0.000, 0.500], [0.044, 0.044, 0.242], [0.334, 0.334, 0.960], [0.352, 0.352, 0.405], [0.648, 0.648, 0.595], [0.666, 0.666, 0.040], [0.956, 0.956, 0.758]]
}